[1]
This record from Alexandria via LeMat-Bulk describes a geometry-optimized ReAg2Au structure. The functional is PBE.

Cell lengths 2.7384, 2.7384, 9.0091 Å; angles 90.00, 90.00, 90.00 degrees
Space group P4/mmm (No. 123)
Symmetry-distinct sites (fractional):
Re (0.0000, 0.0000, 0.0000) [1 per cell]
Ag (0.5000, 0.5000, 0.2446) [2 per cell]
Au (0.0000, 0.0000, 0.5000) [1 per cell]

## Properties
The value obtained for the theoretical density is 14.721 g/cm3. For the formation energy from the elements, the calculation gives 430.9 meV/atom. The total energy comes out at -4.926 eV per atom. Its density of states at the Fermi level is 2.57 states/eV per cell. The calculation puts the spin magnetization at 0.000 μB per formula unit. The value obtained for the energy above the most stable polymorph in this dataset is 0.207 eV/f.u.

***

[2]
This record from Alexandria via LeMat-Bulk describes a geometry-optimized Re2AgAu structure. The functional is PBE.

Cell lengths 6.3876, 6.3876, 6.3876 Å; angles 90.00, 90.00, 90.00 degrees
Space group F-43m (No. 216)
Symmetry-distinct sites (fractional):
Re (0.0000, 0.0000, 0.0000) [4 per cell]
Re (0.2500, 0.2500, 0.2500) [4 per cell]
Ag (0.0000, 0.0000, 0.5000) [4 per cell]
Au (0.2500, 0.2500, 0.7500) [4 per cell]

## Properties
The value obtained for the theoretical density is 17.260 g/cm3. For the formation energy from the elements, the calculation gives 770.7 meV/atom. The total energy comes out at -6.985 eV per atom. Its density of states at the Fermi level is 15.68 states/eV per cell. The calculation puts the spin magnetization at 0.000 μB per formula unit. The value obtained for the energy above the most stable polymorph in this dataset is 2.261 eV/f.u.

***

[3]
This record from Alexandria via LeMat-Bulk describes a geometry-optimized Re2AgAu structure. The functional is PBE.

Cell lengths 2.9625, 4.5002, 9.8097 Å; angles 90.00, 90.00, 90.00 degrees
Space group Cmmm (No. 65)
Symmetry-distinct sites (fractional):
Re (0.0000, 0.0000, 0.2491) [4 per cell]
Ag (0.0000, 0.5000, 0.5000) [2 per cell]
Au (0.0000, 0.5000, 0.0000) [2 per cell]

## Properties
The value obtained for the theoretical density is 17.198 g/cm3. For the formation energy from the elements, the calculation gives 694.1 meV/atom. The total energy comes out at -7.062 eV per atom. Its density of states at the Fermi level is 4.65 states/eV per cell. The calculation puts the spin magnetization at 0.000 μB per formula unit. The value obtained for the energy above the most stable polymorph in this dataset is 1.954 eV/f.u.

***

[4]
This record from Alexandria via LeMat-Bulk describes a geometry-optimized Re2AgAu structure. The functional is PBE.

Cell lengths 5.7925, 5.7925, 11.4475 Å; angles 90.00, 90.00, 90.00 degrees
Space group I-42d (No. 122)
Symmetry-distinct sites (fractional):
Re (0.2448, 0.2500, 0.1250) [8 per cell]
Ag (0.0000, 0.0000, 0.5000) [4 per cell]
Au (0.0000, 0.0000, 0.0000) [4 per cell]

## Properties
The value obtained for the theoretical density is 11.712 g/cm3. For the formation energy from the elements, the calculation gives 2528.9 meV/atom. The total energy comes out at -5.227 eV per atom. Its density of states at the Fermi level is 15.62 states/eV per cell. The calculation puts the spin magnetization at 0.000 μB per formula unit. The value obtained for the energy above the most stable polymorph in this dataset is 9.294 eV/f.u.

***

[5]
This record from Alexandria via LeMat-Bulk describes a geometry-optimized ReAg2Au structure. The functional is PBE.

Cell lengths 2.7316, 5.0629, 10.1223 Å; angles 90.00, 90.00, 90.00 degrees
Space group Imm2 (No. 44)
Symmetry-distinct sites (fractional):
Re (0.0000, 0.0000, 0.0000) [2 per cell]
Ag (0.0000, 0.0000, 0.5076) [2 per cell]
Ag (0.0000, 0.5000, 0.7479) [2 per cell]
Au (0.0000, 0.5000, 0.2635) [2 per cell]

## Properties
The value obtained for the theoretical density is 14.208 g/cm3. For the formation energy from the elements, the calculation gives 618.7 meV/atom. The total energy comes out at -4.738 eV per atom. Its density of states at the Fermi level is 3.97 states/eV per cell. The calculation puts the spin magnetization at 0.889 μB per formula unit. The value obtained for the energy above the most stable polymorph in this dataset is 0.958 eV/f.u.

***

[6]
This record from Alexandria via LeMat-Bulk describes a geometry-optimized ReAg2Au structure. The functional is PBE.

Cell lengths 4.0501, 4.0501, 8.4345 Å; angles 90.00, 90.00, 90.00 degrees
Space group I4/mmm (No. 139)
Symmetry-distinct sites (fractional):
Re (0.0000, 0.0000, 0.0000) [2 per cell]
Ag (0.0000, 0.5000, 0.2500) [4 per cell]
Au (0.0000, 0.0000, 0.5000) [2 per cell]

## Properties
The value obtained for the theoretical density is 14.376 g/cm3. For the formation energy from the elements, the calculation gives 770.3 meV/atom. The total energy comes out at -4.587 eV per atom. Its density of states at the Fermi level is 4.41 states/eV per cell. The calculation puts the spin magnetization at 2.527 μB per formula unit. The value obtained for the energy above the most stable polymorph in this dataset is 1.565 eV/f.u.

***

[7]
This record from Alexandria via LeMat-Bulk describes a geometry-optimized ReAg2Au structure. The functional is PBE.

Cell lengths 2.8307, 2.8307, 29.2478 Å; angles 90.00, 90.00, 120.00 degrees
Space group R-3m (No. 166, hexagonal axes)
Symmetry-distinct sites (fractional):
Re (0.0000, 0.0000, 0.0000) [3 per cell]
Ag (0.0000, 0.0000, 0.2522) [6 per cell]
Au (0.0000, 0.0000, 0.5000) [3 per cell]

## Properties
The value obtained for the theoretical density is 14.700 g/cm3. For the formation energy from the elements, the calculation gives 396.8 meV/atom. The total energy comes out at -4.960 eV per atom. Its density of states at the Fermi level is 13.49 states/eV per cell. The calculation puts the spin magnetization at 0.369 μB per formula unit. The value obtained for the energy above the most stable polymorph in this dataset is 0.070 eV/f.u.

***

[8]
This record from Alexandria via LeMat-Bulk describes a geometry-optimized Re2AgAu structure. The functional is PBE.

Cell lengths 9.7650, 2.7825, 4.7908 Å; angles 90.00, 99.37, 90.00 degrees
Space group C2/m (No. 12)
Symmetry-distinct sites (fractional):
Re (0.2467, 0.0000, 0.2499) [4 per cell]
Ag (0.0000, 0.0000, 0.5000) [2 per cell]
Au (0.0000, 0.5000, 0.0000) [2 per cell]

## Properties
The value obtained for the theoretical density is 17.513 g/cm3. For the formation energy from the elements, the calculation gives 558.6 meV/atom. The total energy comes out at -7.198 eV per atom. Its density of states at the Fermi level is 5.02 states/eV per cell. The calculation puts the spin magnetization at 0.000 μB per formula unit. The value obtained for the energy above the most stable polymorph in this dataset is 1.412 eV/f.u.

***

[9]
This record from Alexandria via LeMat-Bulk describes a geometry-optimized ReAg2Au structure. The functional is PBE.

Cell lengths 9.8919, 2.7258, 5.0739 Å; angles 90.00, 98.27, 90.00 degrees
Space group C2/m (No. 12)
Symmetry-distinct sites (fractional):
Re (0.0000, 0.0000, 0.0000) [2 per cell]
Ag (0.2459, 0.5000, 0.2434) [4 per cell]
Au (0.0000, 0.5000, 0.5000) [2 per cell]

## Properties
The value obtained for the theoretical density is 14.691 g/cm3. For the formation energy from the elements, the calculation gives 508.9 meV/atom. The total energy comes out at -4.848 eV per atom. Its density of states at the Fermi level is 4.47 states/eV per cell. The calculation puts the spin magnetization at 0.701 μB per formula unit. The value obtained for the energy above the most stable polymorph in this dataset is 0.519 eV/f.u.

***

[10]
This record from Alexandria via LeMat-Bulk describes a geometry-optimized ReAgAu4 structure. The functional is PBE.

Cell lengths 7.6943, 7.6943, 7.6943 Å; angles 90.00, 90.00, 90.00 degrees
Space group F-43m (No. 216)
Symmetry-distinct sites (fractional):
Re (0.0000, 0.0000, 0.0000) [4 per cell]
Ag (0.2500, 0.2500, 0.7500) [4 per cell]
Au (0.1250, 0.1250, 0.3750) [16 per cell]

## Properties
The value obtained for the theoretical density is 15.776 g/cm3. For the formation energy from the elements, the calculation gives 710.8 meV/atom. The total energy comes out at -4.024 eV per atom. Its density of states at the Fermi level is 12.20 states/eV per cell. The calculation puts the spin magnetization at 3.555 μB per formula unit.

***

[11]
This record from Alexandria via LeMat-Bulk describes a geometry-optimized Re2AgAu structure. The functional is PBE.

Cell lengths 2.7996, 3.9645, 5.8911 Å; angles 90.00, 90.00, 90.00 degrees
Space group Pmm2 (No. 25)
Symmetry-distinct sites (fractional):
Re (0.0000, 0.0000, 0.0000) [1 per cell]
Re (0.5000, 0.5000, 0.1891) [1 per cell]
Ag (0.0000, 0.0000, 0.4714) [1 per cell]
Au (0.5000, 0.5000, 0.7165) [1 per cell]

## Properties
The value obtained for the theoretical density is 17.200 g/cm3. For the formation energy from the elements, the calculation gives 430.3 meV/atom. The total energy comes out at -7.326 eV per atom. Its density of states at the Fermi level is 3.41 states/eV per cell. The calculation puts the spin magnetization at 0.000 μB per formula unit. The value obtained for the energy above the most stable polymorph in this dataset is 0.899 eV/f.u.

***

[12]
This record from Alexandria via LeMat-Bulk describes a geometry-optimized ReAg2Au structure. The functional is PBE.

Cell lengths 2.7094, 4.3440, 5.7877 Å; angles 90.00, 90.00, 90.00 degrees
Space group Pmmm (No. 47)
Symmetry-distinct sites (fractional):
Re (0.0000, 0.0000, 0.0000) [1 per cell]
Ag (0.5000, 0.5000, 0.2409) [2 per cell]
Au (0.0000, 0.0000, 0.5000) [1 per cell]

## Properties
The value obtained for the theoretical density is 14.599 g/cm3. For the formation energy from the elements, the calculation gives 590.7 meV/atom. The total energy comes out at -4.766 eV per atom. Its density of states at the Fermi level is 2.93 states/eV per cell. The calculation puts the spin magnetization at 0.754 μB per formula unit. The value obtained for the energy above the most stable polymorph in this dataset is 0.846 eV/f.u.

***

[13]
This record from Alexandria via LeMat-Bulk describes a geometry-optimized ReAg2Au structure. The functional is PBE.

Cell lengths 5.7633, 8.8021, 2.6734 Å; angles 90.00, 90.00, 90.00 degrees
Space group Cmmm (No. 65)
Symmetry-distinct sites (fractional):
Re (0.0000, 0.0000, 0.0000) [2 per cell]
Ag (0.2500, 0.2500, 0.5000) [4 per cell]
Au (0.0000, 0.5000, 0.0000) [2 per cell]

## Properties
The value obtained for the theoretical density is 14.666 g/cm3. For the formation energy from the elements, the calculation gives 580.6 meV/atom. The total energy comes out at -4.776 eV per atom. Its density of states at the Fermi level is 8.24 states/eV per cell. The calculation puts the spin magnetization at 0.003 μB per formula unit. The value obtained for the energy above the most stable polymorph in this dataset is 0.806 eV/f.u.

***

[14]
This record from Alexandria via LeMat-Bulk describes a geometry-optimized ReAg2Au structure. The functional is PBE.

Cell lengths 2.8575, 4.7450, 10.0978 Å; angles 90.00, 90.00, 90.00 degrees
Space group Cmmm (No. 65)
Symmetry-distinct sites (fractional):
Re (0.0000, 0.0000, 0.0000) [2 per cell]
Ag (0.0000, 0.5000, 0.2453) [4 per cell]
Au (0.0000, 0.0000, 0.5000) [2 per cell]

## Properties
The value obtained for the theoretical density is 14.527 g/cm3. For the formation energy from the elements, the calculation gives 403.8 meV/atom. The total energy comes out at -4.953 eV per atom. Its density of states at the Fermi level is 4.19 states/eV per cell. The calculation puts the spin magnetization at 0.000 μB per formula unit. The value obtained for the energy above the most stable polymorph in this dataset is 0.099 eV/f.u.